A relaxed structure of HoEr4Se6, computed with GGA-PBE.

extended XYZ file:
```
22
Lattice="1.977 -6.633 0.000 1.977 6.633 0.000 0.000 0.000 20.583" Properties=species:S:1:pos:R:3 pbc="T T T"
Ho 1.977 4.617 15.437
Ho 1.977 -4.617 5.146
Er 1.977 5.444 2.609
Er 1.977 5.444 7.682
Er 1.977 1.865 0.783
Er 1.977 1.865 9.509
Er 1.977 -1.865 11.075
Er 1.977 -1.865 19.800
Er 1.977 -5.444 12.901
Er 1.977 -5.444 17.974
Se 0.000 0.000 0.000
Se 0.000 0.000 10.292
Se 1.977 4.105 5.146
Se 1.977 3.066 12.154
Se 1.977 3.066 18.721
Se 1.977 0.699 3.420
Se 1.977 0.699 6.872
Se 1.977 -0.699 13.711
Se 1.977 -0.699 17.163
Se 1.977 -3.066 1.862
Se 1.977 -3.066 8.429
Se 1.977 -4.105 15.437
```

Summary:
formation energy without anion corrections	-19.6	eV/f.u.
space group	Cmcm
magnetization	0.000	μB/cell